## BeW2Au (PBE)

Data for an optimized crystal structure of BeW2Au.

abc: 3.4064 4.0678 8.5525
angles: 90.00 90.00 90.00
Space group Immm (No. 71)
Unique sites:
1 Be 0.0000 0.0000 0.0000
2 W 0.0000 0.5000 0.2601
3 Au 0.0000 0.0000 0.5000

Results
ΔE_f	26.22	kJ per mole of atoms
crystal system	orthorhombic
VASP energy	-7.956	eV per atom



## BeWAu2 (PBE)

Data for an optimized crystal structure of BeWAu2.

abc: 2.7861 4.0268 5.5614
angles: 90.00 90.00 90.00
Space group Pmmm (No. 47)
Unique sites:
1 Be 0.0000 0.0000 0.0000
2 W 0.0000 0.0000 0.5000
3 Au 0.5000 0.5000 0.2444

Results
ΔE_f	41.03	kJ per mole of atoms
crystal system	orthorhombic
VASP energy	-5.383	eV per atom



## BeW2Au (PBE)

Data for an optimized crystal structure of BeW2Au.

abc: 2.7932 2.7932 26.8691
angles: 90.00 90.00 120.00
Space group R-3m (No. 166, hexagonal axes)
Unique sites:
1 Be 0.0000 0.0000 0.0000
2 W 0.0000 0.0000 0.2570
3 Au 0.0000 0.0000 0.5000

Results
ΔE_f	45.83	kJ per mole of atoms
crystal system	trigonal
VASP energy	-7.753	eV per atom



## BeW2Au (PBE)

Data for an optimized crystal structure of BeW2Au.

abc: 2.7971 4.0942 5.3722
angles: 90.00 100.45 90.00
Space group Pm (No. 6)
Unique sites:
1 Be 0.0000 0.0000 0.0000
2 W 0.3438 0.0000 0.4660
3 W 0.5759 0.5000 0.2103
4 Au 0.9198 0.5000 0.7499

Results
ΔE_f	21.15	kJ per mole of atoms
crystal system	monoclinic
VASP energy	-8.008	eV per atom



## BeWAu2 (PBE)

Data for an optimized crystal structure of BeWAu2.

abc: 2.8683 2.8683 7.2051
angles: 90.00 90.00 90.00
Space group P4/mmm (No. 123)
Unique sites:
1 Be 0.0000 0.0000 0.0000
2 W 0.0000 0.0000 0.5000
3 Au 0.5000 0.5000 0.2094

Results
ΔE_f	17.65	kJ per mole of atoms
crystal system	tetragonal
VASP energy	-5.626	eV per atom



## Be2W2Au (PBE)

Data for an optimized crystal structure of Be2W2Au.

abc: 5.9346 5.9346 3.6485
angles: 90.00 90.00 90.00
Space group P4/mbm (No. 127)
Unique sites:
1 Be 0.1227 0.3773 0.0000
2 W 0.1655 0.6655 0.5000
3 Au 0.0000 0.0000 0.0000

Results
ΔE_f	8.50	kJ per mole of atoms
crystal system	tetragonal
VASP energy	-7.239	eV per atom